The following is a PBE calculation of CaMo2Au after structural relaxation, from Alexandria via LeMat-Bulk.

## Properties
- mass density (g/cm³) = 9.49
- DOS at the Fermi energy (states/eV/f.u.) = 3.058
- offset from the most stable computed form (meV per atom) = 294
- final energy (eV per atom) = -6.282
- symmetry = I4/mmm, No. 139

abc: 5.6255 5.6255 5.6255
angles: 139.28 139.28 58.95
Fractional positions:
Ca1 0.0000 0.0000 0.0000
Mo1 0.2500 0.7500 0.5000
Mo2 0.7500 0.2500 0.5000
Au1 0.5000 0.5000 0.0000